(1)
LaAlGaAu2 PBE relaxed; spin magnetization = 0.00 μB/f.u.; E_tot = -4.357 eV/atom; energy relative to the elements = -0.706 eV/atom; D(E_F) = 0.455 states/eV per atom
1.0
4.3559 0.0000 0.0000
0.0000 4.3559 0.0000
-2.1780 -2.1780 5.6585
La Al Ga Au
1 1 1 2
Cartesian
0.0000 0.0000 0.0000 La
2.1780 0.0000 2.8292 Al
0.0000 2.1780 2.8292 Ga
2.1780 2.1780 1.3870 Au
0.0000 0.0000 4.2715 Au

(2)
BaAcAlO4 PBE relaxed; spin magnetization = 0.00 μB/f.u.; E_tot = -7.240 eV/atom; E_form (uncorrected) = -3011 meV/atom; D(E_F) = 0.000 states/eV per atom
1.0
-4.6480 2.3568 -2.9159
1.5760 -2.9587 -4.9037
-2.2322 -6.3265 3.0997
Ba Ac Al O
2 2 2 8
Cartesian
-4.1589 -6.4182 -2.8607 Ba
-1.1452 -0.5101 -1.8591 Ba
-3.5072 -3.2559 -4.5592 Ac
-1.7969 -3.6724 -0.1606 Ac
-0.6278 -3.6041 -3.4237 Al
-4.6763 -3.3242 -1.2961 Al
-5.3023 -3.7775 -2.8971 O
0.7312 -4.5270 -4.1035 O
-0.0019 -3.1508 -1.8226 O
-6.0353 -2.4013 -0.6163 O
-1.2076 -2.2502 -4.4269 O
-4.0966 -4.6781 -0.2929 O
-2.0020 -4.7328 -3.1843 O
-3.3022 -2.1955 -1.5355 O

Question: The highest D(E_F) belongs to which entry?
Answer: LaAlGaAu2

Question: What is the spin magnetization in the second record?
Answer: 0.00 μB/f.u.